# 1
The following is a DFT calculation (PBE) of crystalline AlTcRu2 at its relaxed geometry.

Values from the calculation:
VASP energy: -33.247 eV/cell
D(E_F): 1.0166 states/eV per atom
space group: P4/mmm
energy relative to the elements: -0.6 eV/f.u.

a b c (Å): 2.9657 4.3657 4.3657
angles (deg): 90.00 90.00 90.00
Last column: magnetic moment on the atom in μB.
Atoms (fractional coordinates):
Tc  0.5000  0.5000  0.0000  0.34
Ru  0.0000  0.5000  0.5000  0.04
Ru  0.0000  0.0000  0.0000  0.04
Al  0.5000  0.0000  0.5000  0.00



# 2
The following is a DFT calculation (PBE) of crystalline Pr2Nd4YSc at its relaxed geometry.

Values from the calculation:
VASP energy: -41.184 eV/cell
D(E_F): 1.5347 states/eV per atom
space group: P2/m
energy relative to the elements: 0.2 eV/f.u.

a b c (Å): 5.1493 5.1207 11.4205
angles (deg): 63.30 90.00 90.00
Atoms (fractional coordinates):
Y  0.5000  0.5000  0.0000
Nd  0.0000  0.7561  0.7444
Nd  0.5000  0.2549  0.7453
Nd  0.5000  0.7451  0.2547
Nd  0.0000  0.2439  0.2556
Pr  0.5000  0.0000  0.5000
Pr  0.0000  0.0000  0.0000
Sc  0.0000  0.5000  0.5000



# 3
The following is a DFT calculation (PBE) of crystalline Pm4PrIn5 at its relaxed geometry.

Values from the calculation:
VASP energy: -42.443 eV/cell
D(E_F): 0.5438 states/eV per atom
space group: P4/mmm
energy relative to the elements: -5.0 eV/f.u.

a b c (Å): 3.8627 3.8627 19.2707
angles (deg): 90.00 90.00 90.00
Atoms (fractional coordinates):
In  0.5000  0.5000  0.1035
In  0.5000  0.5000  0.5000
In  0.5000  0.5000  0.8965
In  0.5000  0.5000  0.3016
In  0.5000  0.5000  0.6984
Pm  0.0000  0.0000  0.4008
Pm  0.0000  0.0000  0.5992
Pm  0.0000  0.0000  0.2024
Pm  0.0000  0.0000  0.7976
Pr  0.0000  0.0000  0.0000



# 4
The following is a DFT calculation (PBE) of crystalline K2NaHg7Au2 at its relaxed geometry.

Values from the calculation:
VASP energy: -14.653 eV/cell
D(E_F): 0.3034 states/eV per atom
space group: C2/m
energy relative to the elements: -2.5 eV/f.u.

a b c (Å): 4.5926 4.5926 16.4279
angles (deg): 83.43 83.43 89.77
Atoms (fractional coordinates):
Hg  0.9344  0.4353  0.1527
Hg  0.0656  0.5647  0.8473
Hg  0.6924  0.6924  0.5498
Hg  0.5000  0.5000  0.0000
Hg  0.5647  0.0656  0.8473
Hg  0.3076  0.3076  0.4502
Hg  0.4353  0.9344  0.1527
Au  0.3839  0.3839  0.2731
Au  0.6161  0.6161  0.7269
Na  0.0000  0.0000  0.0000
K  0.1401  0.1401  0.6648
K  0.8599  0.8599  0.3352



Please write out number 1 again, unchanged.
The following is a DFT calculation (PBE) of crystalline AlTcRu2 at its relaxed geometry.

Values from the calculation:
VASP energy: -33.247 eV/cell
D(E_F): 1.0166 states/eV per atom
space group: P4/mmm
energy relative to the elements: -0.6 eV/f.u.

a b c (Å): 2.9657 4.3657 4.3657
angles (deg): 90.00 90.00 90.00
Last column: magnetic moment on the atom in μB.
Atoms (fractional coordinates):
Tc  0.5000  0.5000  0.0000  0.34
Ru  0.0000  0.5000  0.5000  0.04
Ru  0.0000  0.0000  0.0000  0.04
Al  0.5000  0.0000  0.5000  0.00